# 1
ScPaGeO6 (PBE-GGA, relaxed); E_form (uncorrected) = -25.964 eV per formula unit; raw total energy = -8.462 eV per atom
1.0
5.184 0.000 0.000
-2.592 4.489 0.000
0.000 0.000 9.561
Sc Pa Ge O
2 2 2 12
direct
0.333 0.667 0.250 Sc
0.667 0.333 0.750 Sc
0.000 0.000 0.000 Pa
0.000 0.000 0.500 Pa
0.333 0.667 0.750 Ge
0.667 0.333 0.250 Ge
0.027 0.359 0.636 O
0.027 0.668 0.864 O
0.332 0.359 0.864 O
0.332 0.973 0.636 O
0.359 0.027 0.136 O
0.359 0.332 0.364 O
0.641 0.668 0.636 O
0.641 0.973 0.864 O
0.668 0.027 0.364 O
0.668 0.641 0.136 O
0.973 0.332 0.136 O
0.973 0.641 0.364 O

---

# 2
SmPaGeO6 (PBE-GGA, relaxed); E_form (uncorrected) = -25.222 eV per formula unit; raw total energy = -8.200 eV per atom
1.0
5.455 0.000 0.000
-2.727 4.724 0.000
0.000 0.000 9.416
Sm Pa Ge O
2 2 2 12
direct
0.333 0.667 0.250 Sm
0.667 0.333 0.750 Sm
0.000 0.000 0.000 Pa
0.000 0.000 0.500 Pa
0.333 0.667 0.750 Ge
0.667 0.333 0.250 Ge
0.056 0.360 0.631 O
0.056 0.695 0.869 O
0.305 0.360 0.869 O
0.305 0.944 0.631 O
0.360 0.056 0.131 O
0.360 0.305 0.369 O
0.640 0.695 0.631 O
0.640 0.944 0.869 O
0.695 0.056 0.369 O
0.695 0.640 0.131 O
0.944 0.305 0.131 O
0.944 0.640 0.369 O

---

# 3
Sr2PaGeO6 (PBE-GGA, relaxed); E_form (uncorrected) = -26.904 eV per formula unit; raw total energy = -7.413 eV per atom
1.0
4.261 0.000 0.000
0.000 4.261 0.000
0.000 0.000 8.565
Sr Pa Ge O
2 1 1 6
direct
0.000 0.000 0.200 Sr
0.000 0.000 0.800 Sr
0.500 0.500 0.500 Pa
0.500 0.500 0.000 Ge
0.000 0.500 0.000 O
0.000 0.500 0.500 O
0.500 0.000 0.000 O
0.500 0.000 0.500 O
0.500 0.500 0.247 O
0.500 0.500 0.753 O

---

# 4
SrPaGeO5 (PBE-GGA, relaxed); E_form (uncorrected) = -21.695 eV per formula unit; raw total energy = -7.785 eV per atom
1.0
3.637 -4.901 0.000
3.637 4.901 0.000
-3.025 0.000 7.370
Sr Pa Ge O
2 2 2 10
direct
0.164 0.836 0.750 Sr
0.836 0.164 0.250 Sr
0.500 0.500 0.000 Pa
0.500 0.500 0.500 Pa
0.179 0.821 0.250 Ge
0.821 0.179 0.750 Ge
0.110 0.236 0.906 O
0.178 0.607 0.374 O
0.236 0.110 0.406 O
0.393 0.822 0.126 O
0.413 0.587 0.750 O
0.587 0.413 0.250 O
0.607 0.178 0.874 O
0.764 0.890 0.594 O
0.822 0.393 0.626 O
0.890 0.764 0.094 O

---

# 5
SrPaGeO6 (PBE-GGA, relaxed); E_form (uncorrected) = -22.352 eV per formula unit; raw total energy = -7.544 eV per atom
1.0
5.457 0.000 0.000
-2.728 4.725 0.000
0.000 0.000 10.731
Sr Pa Ge O
2 2 2 12
direct
0.000 0.000 0.000 Sr
0.000 0.000 0.500 Sr
0.333 0.667 0.250 Pa
0.667 0.333 0.750 Pa
0.333 0.667 0.750 Ge
0.667 0.333 0.250 Ge
0.033 0.385 0.648 O
0.033 0.648 0.852 O
0.352 0.385 0.852 O
0.352 0.967 0.648 O
0.385 0.033 0.148 O
0.385 0.352 0.352 O
0.615 0.648 0.648 O
0.615 0.967 0.852 O
0.648 0.033 0.352 O
0.648 0.615 0.148 O
0.967 0.352 0.148 O
0.967 0.615 0.352 O

---

# 6
PaTaGeO6 (PBE-GGA, relaxed); E_form (uncorrected) = -23.525 eV per formula unit; raw total energy = -8.804 eV per atom
1.0
5.646 0.000 0.000
-2.823 4.890 0.000
0.000 0.000 9.474
Pa Ta Ge O
2 2 2 12
direct
0.333 0.667 0.250 Pa
0.667 0.333 0.750 Pa
0.333 0.667 0.750 Ta
0.667 0.333 0.250 Ta
0.000 0.000 0.000 Ge
0.000 0.000 0.500 Ge
0.023 0.373 0.638 O
0.023 0.651 0.862 O
0.349 0.373 0.862 O
0.349 0.977 0.638 O
0.373 0.023 0.138 O
0.373 0.349 0.362 O
0.627 0.651 0.638 O
0.627 0.977 0.862 O
0.651 0.023 0.362 O
0.651 0.627 0.138 O
0.977 0.349 0.138 O
0.977 0.627 0.362 O